The following is a DFT calculation (PBE+U) of Co2Pb5F12 after structural relaxation.

Summary:
M_tot in μB per cell: 4.68
E in eV per atom: -4.7332

Geometry as CIF:
```
data_Co2Pb5F12
_chemical_formula_sum 'Co2 Pb5 F12'
_cell_length_a 7.582
_cell_length_b 7.582
_cell_length_c 8.220
_cell_angle_alpha 106.29
_cell_angle_beta 106.29
_cell_angle_gamma 48.49
_symmetry_space_group_name_H-M 'P 1'
_symmetry_Int_Tables_number 1
loop_
_symmetry_equiv_pos_as_xyz
'x,y,z'
loop_
_atom_site_label
_atom_site_type_symbol
_atom_site_fract_x
_atom_site_fract_y
_atom_site_fract_z
Co1 Co 0.215 0.785 0.000
Co2 Co 0.785 0.215 0.000
Pb1 Pb 0.000 0.000 0.500
Pb2 Pb 0.316 0.316 0.159
Pb3 Pb 0.317 0.317 0.657
Pb4 Pb 0.683 0.683 0.343
Pb5 Pb 0.684 0.684 0.841
F1 F 0.001 0.001 0.801
F2 F 0.093 0.570 0.914
F3 F 0.103 0.597 0.424
F4 F 0.403 0.897 0.576
F5 F 0.430 0.907 0.086
F6 F 0.497 0.497 0.823
F7 F 0.503 0.503 0.177
F8 F 0.570 0.093 0.914
F9 F 0.597 0.103 0.424
F10 F 0.897 0.403 0.576
F11 F 0.907 0.430 0.086
F12 F 0.999 0.999 0.199
```